# Ba3Al7Cd2

An optimized crystal structure of Ba3Al7Cd2 (GGA-PBE, Alexandria via LeMat-Bulk).

energy of formation from the pure elements	-0.1886	eV/atom

Unit cell a=6.0279 b=6.0279 c=10.1426 alpha=72.71 beta=72.71 gamma=60.00
Last column: nearest neighbours and their distance in Å.
Atoms (fractional coordinates):
Ba  0.0000  0.0000  0.0000  6 Cd 3.48, 12 Al 3.83
Ba  0.8571  0.8571  0.4288  12 Al 3.47-3.55, 3 Ba 3.74
Ba  0.1429  0.1429  0.5712  12 Al 3.47-3.55, 3 Ba 3.74
Al  0.5000  0.5000  0.5000  6 Al 2.99
Al  0.9257  0.4130  0.2483  2 Cd 2.90-2.98, 5 Al 2.94-3.09
Al  0.4130  0.9257  0.2483  2 Cd 2.90-2.98, 5 Al 2.94-3.09
Al  0.4130  0.4130  0.2483  2 Cd 2.90-2.98, 5 Al 2.94-3.09
Al  0.0743  0.5870  0.7517  2 Cd 2.90-2.98, 5 Al 2.94-3.09
Al  0.5870  0.5870  0.7517  2 Cd 2.90-2.98, 5 Al 2.94-3.09
Al  0.5870  0.0743  0.7517  2 Cd 2.90-2.98, 5 Al 2.94-3.09
Cd  0.6638  0.6638  0.0086  6 Al 2.90-2.98
Cd  0.3362  0.3362  0.9914  6 Al 2.90-2.98



# ThZnSnPd

An optimized crystal structure of ThZnSnPd (GGA-PBE, Alexandria via LeMat-Bulk).

energy of formation from the pure elements	-0.5536	eV/atom

Unit cell a=4.9594 b=4.9594 c=4.9594 alpha=60.00 beta=60.00 gamma=60.00
Last column: nearest neighbours and their distance in Å.
Atoms (fractional coordinates):
Zn  0.5000  0.5000  0.5000  4 Th 3.04, 4 Sn 3.04
Pd  0.0000  0.0000  0.0000  4 Th 3.04, 4 Sn 3.04
Sn  0.2500  0.2500  0.2500  4 Pd 3.04, 4 Zn 3.04
Th  0.7500  0.7500  0.7500  4 Pd 3.04, 4 Zn 3.04



# SrCa2Zn2

An optimized crystal structure of SrCa2Zn2 (GGA-PBE, Alexandria via LeMat-Bulk).

distance to the lowest polymorph of the same formula	0.021	eV/atom
energy of formation from the pure elements	-0.1732	eV/atom

Unit cell a=8.2451 b=8.2451 c=4.5262 alpha=90.00 beta=90.00 gamma=90.00
Last column: nearest neighbours and their distance in Å.
Atoms (fractional coordinates):
Sr  0.0000  0.0000  0.0000  4 Zn 3.31
Sr  0.5000  0.5000  0.0000  4 Zn 3.31
Zn  0.3840  0.8840  0.0000  1 Zn 2.71
Zn  0.8840  0.6160  0.0000  1 Zn 2.71
Zn  0.6160  0.1160  0.0000  1 Zn 2.71
Zn  0.1160  0.3840  0.0000  1 Zn 2.71
Ca  0.1660  0.6660  0.5000  6 Zn 3.27-3.40
Ca  0.6660  0.8340  0.5000  6 Zn 3.27-3.40
Ca  0.8340  0.3340  0.5000  6 Zn 3.27-3.40
Ca  0.3340  0.1660  0.5000  6 Zn 3.27-3.40



# MnMo2Pt

An optimized crystal structure of MnMo2Pt (GGA-PBE, Alexandria via LeMat-Bulk).

distance to the lowest polymorph of the same formula	0.503	eV/atom
energy of formation from the pure elements	0.3846	eV/atom

Unit cell a=3.6874 b=3.6874 c=10.0024 alpha=79.38 beta=79.38 gamma=90.00
Last column: nearest neighbours and their distance in Å.
Atoms (fractional coordinates):
Mo  0.6093  0.1250  0.2500  4 Mo 2.53-2.69, 2 Mn 2.72, 2 Pt 2.76
Mo  0.1407  0.6250  0.2500  4 Mo 2.53-2.69, 2 Mn 2.72, 2 Pt 2.76
Mo  0.3750  0.3907  0.7500  4 Mo 2.53-2.69, 2 Mn 2.72, 2 Pt 2.76
Mo  0.8750  0.8593  0.7500  4 Mo 2.53-2.69, 2 Mn 2.72, 2 Pt 2.76
Mn  0.5000  0.5000  0.0000  4 Pt 2.61, 4 Mo 2.72
Mn  0.2500  0.7500  0.5000  4 Pt 2.61, 4 Mo 2.72
Pt  0.0000  0.0000  0.0000  4 Mn 2.61, 4 Mo 2.76
Pt  0.7500  0.2500  0.5000  4 Mn 2.61, 4 Mo 2.76